Below is crystalline Ho2Al2CuNi5 at its relaxed geometry, with properties calculated at the PBE level.

Properties
E_tot	-5.242	eV/atom
volume	301	Å³/cell

Cell: 9.7214 9.7214 3.1843 Å, 90.00 90.00 90.00°
Element x y z (fractional)
Ho (0.1741, 0.3259, 0.0000)
Ho (0.3259, 0.8259, 0.0000)
Ho (0.6741, 0.1741, 0.0000)
Ho (0.8259, 0.6741, 0.0000)
Al (0.1260, 0.6260, 0.0000)
Al (0.3740, 0.1260, 0.0000)
Al (0.6260, 0.8740, 0.0000)
Al (0.8740, 0.3740, 0.0000)
Cu (0.0000, 0.0000, 0.0000)
Cu (0.5000, 0.5000, 0.0000)
Ni (0.0000, 0.5000, 0.5000)
Ni (0.0542, 0.8050, 0.5000)
Ni (0.1950, 0.0542, 0.5000)
Ni (0.3050, 0.5542, 0.5000)
Ni (0.4458, 0.3050, 0.5000)
Ni (0.5000, 0.0000, 0.5000)
Ni (0.5542, 0.6950, 0.5000)
Ni (0.6950, 0.4458, 0.5000)
Ni (0.8050, 0.9458, 0.5000)
Ni (0.9458, 0.1950, 0.5000)


Below is crystalline Ho2AlCu3Ni12 at its relaxed geometry, with properties calculated at the PBE level.

Properties
E_tot	-5.098	eV/atom
volume	259	Å³/cell

Cell: 9.3185 9.3185 9.3185 Å, 36.71 36.71 36.71°
Element x y z (fractional)
Ho (0.1480, 0.1480, 0.1480)
Ho (0.8520, 0.8520, 0.8520)
Al (0.5000, 0.5000, 0.5000)
Cu (0.0000, 0.5000, 0.5000)
Cu (0.5000, 0.0000, 0.5000)
Cu (0.5000, 0.5000, 0.0000)
Ni (0.0795, 0.0795, 0.6882)
Ni (0.0795, 0.6881, 0.0795)
Ni (0.1399, 0.5764, 0.5764)
Ni (0.3118, 0.9205, 0.9205)
Ni (0.4236, 0.4236, 0.8601)
Ni (0.4236, 0.8601, 0.4236)
Ni (0.5764, 0.1399, 0.5764)
Ni (0.5764, 0.5764, 0.1399)
Ni (0.6882, 0.0795, 0.0795)
Ni (0.8601, 0.4236, 0.4236)
Ni (0.9205, 0.3118, 0.9205)
Ni (0.9205, 0.9205, 0.3118)


Below is crystalline HoAl4Cu2Os at its relaxed geometry, with properties calculated at the PBE level.

Properties
E_tot	-5.169	eV/atom
volume	135	Å³/cell

Cell: 9.2669 9.2669 9.2669 Å, 26.00 26.00 26.00°
Element x y z (fractional)
Ho (0.0000, 0.0000, 0.0000)
Al (0.1331, 0.1331, 0.1331)
Al (0.4040, 0.4040, 0.4040)
Al (0.5960, 0.5960, 0.5960)
Al (0.8669, 0.8669, 0.8669)
Cu (0.2327, 0.2327, 0.2327)
Cu (0.7673, 0.7673, 0.7673)
Os (0.5000, 0.5000, 0.5000)


Below is crystalline HoPaAlCu at its relaxed geometry, with properties calculated at the PBE level.

Properties
E_tot	-5.489	eV/atom
volume	87	Å³/cell

Cell: 4.9810 4.9810 4.9810 Å, 60.00 60.00 60.00°
Element x y z (fractional)
Ho (0.0000, 0.0000, 0.0000)
Pa (0.5000, 0.5000, 0.5000)
Al (0.7500, 0.7500, 0.7500)
Cu (0.2500, 0.2500, 0.2500)


Below is crystalline Ho4AlCu2Pd at its relaxed geometry, with properties calculated at the PBE level.

Properties
E_tot	-4.889	eV/atom
volume	172	Å³/cell

Cell: 8.6186 8.6186 8.6186 Å, 33.33 33.33 33.33°
Element x y z (fractional)
Ho (0.1210, 0.1210, 0.1210)
Ho (0.3727, 0.3727, 0.3727)
Ho (0.6273, 0.6273, 0.6273)
Ho (0.8790, 0.8790, 0.8790)
Al (0.5000, 0.5000, 0.5000)
Cu (0.2405, 0.2405, 0.2405)
Cu (0.7595, 0.7595, 0.7595)
Pd (0.0000, 0.0000, 0.0000)


Below is crystalline Ho2Al4Cu3Pd at its relaxed geometry, with properties calculated at the PBE level.

Properties
E_tot	-4.676	eV/atom
volume	176	Å³/cell

Cell: 4.1275 4.1275 10.3147 Å, 90.00 90.00 90.00°
Element x y z (fractional)
Ho (0.0000, 0.5000, 0.2473)
Ho (0.5000, 0.0000, 0.7527)
Al (0.0000, 0.0000, 0.0000)
Al (0.0000, 0.5000, 0.6329)
Al (0.5000, 0.0000, 0.3671)
Al (0.5000, 0.5000, 0.0000)
Cu (0.0000, 0.5000, 0.8653)
Cu (0.5000, 0.0000, 0.1347)
Cu (0.5000, 0.5000, 0.5000)
Pd (0.0000, 0.0000, 0.5000)


Below is crystalline HoAl4Cu2Pd at its relaxed geometry, with properties calculated at the PBE level.

Properties
E_tot	-4.552	eV/atom
volume	134	Å³/cell

Cell: 9.0907 9.0907 9.0907 Å, 26.72 26.72 26.72°
Element x y z (fractional)
Ho (0.0000, 0.0000, 0.0000)
Al (0.1282, 0.1282, 0.1282)
Al (0.4024, 0.4024, 0.4024)
Al (0.5976, 0.5976, 0.5976)
Al (0.8718, 0.8718, 0.8718)
Cu (0.2428, 0.2428, 0.2428)
Cu (0.7572, 0.7572, 0.7572)
Pd (0.5000, 0.5000, 0.5000)


Below is crystalline Ho2Al3Cu12Pd at its relaxed geometry, with properties calculated at the PBE level.

Properties
E_tot	-4.134	eV/atom
volume	283	Å³/cell

Cell: 11.8543 11.8543 11.8543 Å, 26.04 26.04 26.04°
Element x y z (fractional)
Ho (0.1429, 0.1429, 0.1429)
Ho (0.8571, 0.8571, 0.8571)
Al (0.0000, 0.5000, 0.5000)
Al (0.5000, 0.0000, 0.5000)
Al (0.5000, 0.5000, 0.0000)
Cu (0.0990, 0.0990, 0.6367)
Cu (0.0990, 0.6367, 0.0990)
Cu (0.1053, 0.6103, 0.6103)
Cu (0.3633, 0.9010, 0.9010)
Cu (0.3897, 0.3897, 0.8947)
Cu (0.3897, 0.8947, 0.3897)
Cu (0.6103, 0.1053, 0.6103)
Cu (0.6103, 0.6103, 0.1053)
Cu (0.6367, 0.0990, 0.0990)
Cu (0.8947, 0.3897, 0.3897)
Cu (0.9010, 0.3633, 0.9010)
Cu (0.9010, 0.9010, 0.3633)
Pd (0.5000, 0.5000, 0.5000)